Entry one
# PrYHoTh (PBE, optimized geometry)
data_PrYHoTh
_chemical_formula_sum 'Pr4 Y4 Ho4 Th4'
_space_group_name_H-M_alt 'F -4 3 m'
_space_group_IT_number 216
_space_group_name_Hall 'F -4 2 3'
_cell_length_a 8.0909
_cell_length_b 8.0909
_cell_length_c 8.0909
_cell_angle_alpha 90.00
_cell_angle_beta 90.00
_cell_angle_gamma 90.00
loop_
_atom_site_label
_atom_site_type_symbol
_atom_site_fract_x
_atom_site_fract_y
_atom_site_fract_z
_atom_site_occupancy
Pr1 Pr 0.0000 0.0000 0.0000 1
Y1 Y 0.2500 0.2500 0.7500 1
Ho1 Ho 0.2500 0.2500 0.2500 1
Th1 Th 0.0000 0.0000 0.5000 1
# V, Å³ per cell: 530
# DOS(E_F), states/eV/f.u.: 8.6

Entry two
# PrYHoTh (PBE, optimized geometry)
data_PrYHoTh
_chemical_formula_sum 'Pr3 Y3 Ho3 Th3'
_space_group_name_H-M_alt 'R 3 m'
_space_group_IT_number 160
_space_group_name_Hall 'R 3 -2"'
_cell_length_a 3.6102
_cell_length_b 3.6102
_cell_length_c 34.8860
_cell_angle_alpha 90.00
_cell_angle_beta 90.00
_cell_angle_gamma 120.00
loop_
_atom_site_label
_atom_site_type_symbol
_atom_site_fract_x
_atom_site_fract_y
_atom_site_fract_z
_atom_site_occupancy
Pr1 Pr 0.0000 0.0000 0.0000 1
Y1 Y 0.0000 0.0000 0.4209 1
Ho1 Ho 0.0000 0.0000 0.2482 1
Th1 Th 0.0000 0.0000 0.8351 1
# V, Å³ per cell: 394
# DOS(E_F), states/eV/f.u.: 6.0

Least stable: entry one

Entry one
# PrHoTl (PBE, optimized geometry)
data_PrHoTl
_chemical_formula_sum 'Pr2 Ho2 Tl2'
_space_group_name_H-M_alt 'P 63/m m c'
_space_group_IT_number 194
_space_group_name_Hall '-P 6c 2c'
_cell_length_a 5.5042
_cell_length_b 5.5042
_cell_length_c 6.8201
_cell_angle_alpha 90.00
_cell_angle_beta 90.00
_cell_angle_gamma 120.00
loop_
_atom_site_label
_atom_site_type_symbol
_atom_site_fract_x
_atom_site_fract_y
_atom_site_fract_z
_atom_site_occupancy
Pr1 Pr 0.0000 0.0000 0.0000 1
Ho1 Ho 0.3333 0.6667 0.2500 1
Tl1 Tl 0.3333 0.6667 0.7500 1
# V, Å³ per cell: 179
# DOS(E_F), states/eV/f.u.: 3.4

Entry two
# PrHoTl (PBE, optimized geometry)
data_PrHoTl
_chemical_formula_sum 'Pr1 Ho1 Tl1'
_space_group_name_H-M_alt 'P 3 m 1'
_space_group_IT_number 156
_cell_length_a 5.3209
_cell_length_b 5.3209
_cell_length_c 3.8094
_cell_angle_alpha 90.00
_cell_angle_beta 90.00
_cell_angle_gamma 120.00
loop_
_space_group_symop_operation_xyz
'x,y,z'
'-y,x-y,z'
'-x+y,-x,z'
'-y,-x,z'
'-x+y,y,z'
'x,x-y,z'
loop_
_atom_site_label
_atom_site_type_symbol
_atom_site_fract_x
_atom_site_fract_y
_atom_site_fract_z
_atom_site_occupancy
Pr1 Pr 0.0000 0.0000 0.0000 1
Ho1 Ho 0.3333 0.6667 0.4742 1
Tl1 Tl 0.6667 0.3333 0.5696 1
# V, Å³ per cell: 93
# DOS(E_F), states/eV/f.u.: 1.8

Entry three
# PrHoTl (PBE, optimized geometry)
data_PrHoTl
_chemical_formula_sum 'Pr4 Ho4 Tl4'
_space_group_name_H-M_alt 'C m m m'
_space_group_IT_number 65
_space_group_name_Hall '-C 2 2'
_cell_length_a 10.7013
_cell_length_b 11.3606
_cell_length_c 3.7822
_cell_angle_alpha 90.00
_cell_angle_beta 90.00
_cell_angle_gamma 90.00
loop_
_atom_site_label
_atom_site_type_symbol
_atom_site_fract_x
_atom_site_fract_y
_atom_site_fract_z
_atom_site_occupancy
Pr1 Pr 0.0000 0.2241 0.0000 1
Ho1 Ho 0.2218 0.5000 0.5000 1
Tl1 Tl 0.0000 0.0000 0.5000 1
Tl2 Tl 0.0000 0.5000 0.0000 1
# V, Å³ per cell: 460
# DOS(E_F), states/eV/f.u.: 4.5

Entry four
# PrHoTl (PBE, optimized geometry)
data_PrHoTl
_chemical_formula_sum 'Pr4 Ho4 Tl4'
_space_group_name_H-M_alt 'F -4 3 m'
_space_group_IT_number 216
_space_group_name_Hall 'F -4 2 3'
_cell_length_a 7.4707
_cell_length_b 7.4707
_cell_length_c 7.4707
_cell_angle_alpha 90.00
_cell_angle_beta 90.00
_cell_angle_gamma 90.00
loop_
_atom_site_label
_atom_site_type_symbol
_atom_site_fract_x
_atom_site_fract_y
_atom_site_fract_z
_atom_site_occupancy
Pr1 Pr 0.0000 0.0000 0.0000 1
Ho1 Ho 0.0000 0.0000 0.5000 1
Tl1 Tl 0.2500 0.2500 0.7500 1
# V, Å³ per cell: 417
# DOS(E_F), states/eV/f.u.: 5.3

Least stable: entry three

Entry one
# PrHoTl (PBE, optimized geometry)
data_PrHoTl
_chemical_formula_sum 'Pr2 Ho2 Tl2'
_space_group_name_H-M_alt 'I 4 m m'
_space_group_IT_number 107
_space_group_name_Hall 'I 4 -2'
_cell_length_a 3.6773
_cell_length_b 3.6773
_cell_length_c 13.7258
_cell_angle_alpha 90.00
_cell_angle_beta 90.00
_cell_angle_gamma 90.00
loop_
_atom_site_label
_atom_site_type_symbol
_atom_site_fract_x
_atom_site_fract_y
_atom_site_fract_z
_atom_site_occupancy
Pr1 Pr 0.0000 0.0000 0.0000 1
Ho1 Ho 0.0000 0.0000 0.6889 1
Tl1 Tl 0.0000 0.0000 0.3347 1
# V, Å³ per cell: 186
# DOS(E_F), states/eV/f.u.: 3.5

Entry two
# PrHoTl (PBE, optimized geometry)
data_PrHoTl
_chemical_formula_sum 'Pr2 Ho2 Tl2'
_space_group_name_H-M_alt 'P 4/n m m'
_space_group_IT_number 129
_cell_length_a 4.7540
_cell_length_b 4.7540
_cell_length_c 8.4013
_cell_angle_alpha 90.00
_cell_angle_beta 90.00
_cell_angle_gamma 90.00
loop_
_space_group_symop_operation_xyz
'x,y,z'
'-x,-y,-z'
'-y+1/2,x,z'
'y+1/2,-x,-z'
'-x+1/2,-y+1/2,z'
'x+1/2,y+1/2,-z'
'y,-x+1/2,z'
'-y,x+1/2,-z'
'x+1/2,-y,-z'
'-x+1/2,y,z'
'-y,-x,-z'
'y,x,z'
'-x,y+1/2,-z'
'x,-y+1/2,z'
'y+1/2,x+1/2,-z'
'-y+1/2,-x+1/2,z'
loop_
_atom_site_label
_atom_site_type_symbol
_atom_site_fract_x
_atom_site_fract_y
_atom_site_fract_z
_atom_site_occupancy
Pr1 Pr 0.2500 0.2500 0.1477 1
Ho1 Ho 0.2500 0.7500 0.5000 1
Tl1 Tl 0.2500 0.2500 0.7613 1
# V, Å³ per cell: 190
# DOS(E_F), states/eV/f.u.: 2.9

Least stable: entry one

Entry one
# Pr3Ho2Tl (PBE, optimized geometry)
data_Pr3Ho2Tl
_chemical_formula_sum 'Pr6 Ho4 Tl2'
_space_group_name_H-M_alt 'P -1'
_space_group_IT_number 2
_cell_length_a 6.6454
_cell_length_b 6.6882
_cell_length_c 10.1123
_cell_angle_alpha 100.92
_cell_angle_beta 99.70
_cell_angle_gamma 114.29
loop_
_space_group_symop_operation_xyz
'x,y,z'
'-x,-y,-z'
loop_
_atom_site_label
_atom_site_type_symbol
_atom_site_fract_x
_atom_site_fract_y
_atom_site_fract_z
_atom_site_occupancy
Pr1 Pr 0.1037 0.3605 0.2604 1
Pr2 Pr 0.2272 0.4414 0.9395 1
Pr3 Pr 0.3324 0.5546 0.6197 1
Ho1 Ho 0.1953 0.9381 0.4025 1
Ho2 Ho 0.2872 0.0082 0.0656 1
Tl1 Tl 0.3887 0.1211 0.7336 1
# V, Å³ per cell: 387
# DOS(E_F), states/eV/f.u.: 7.3

Entry two
# Pr3Ho2Tl (PBE, optimized geometry)
data_Pr3Ho2Tl
_chemical_formula_sum 'Pr12 Ho8 Tl4'
_space_group_name_H-M_alt 'C 1 2/c 1'
_space_group_IT_number 15
_cell_length_a 17.4664
_cell_length_b 6.9131
_cell_length_c 6.5649
_cell_angle_alpha 90.00
_cell_angle_beta 98.94
_cell_angle_gamma 90.00
loop_
_space_group_symop_operation_xyz
'x,y,z'
'-x,-y,-z'
'-x,y,-z+1/2'
'x,-y,z+1/2'
'x+1/2,y+1/2,z'
'-x+1/2,-y+1/2,-z'
'-x+1/2,y+1/2,-z+1/2'
'x+1/2,-y+1/2,z+1/2'
loop_
_atom_site_label
_atom_site_type_symbol
_atom_site_fract_x
_atom_site_fract_y
_atom_site_fract_z
_atom_site_occupancy
Pr1 Pr 0.0000 0.2296 0.2500 1
Pr2 Pr 0.1692 0.1181 0.0447 1
Ho1 Ho 0.1615 0.3903 0.5704 1
Tl1 Tl 0.0000 0.2835 0.7500 1
# V, Å³ per cell: 783
# DOS(E_F), states/eV/f.u.: 5.8

Least stable: entry two

Entry one
# PrHo6Tl (PBE, optimized geometry)
data_PrHo6Tl
_chemical_formula_sum 'Pr2 Ho12 Tl2'
_space_group_name_H-M_alt 'C m m m'
_space_group_IT_number 65
_space_group_name_Hall '-C 2 2'
_cell_length_a 8.5647
_cell_length_b 10.7370
_cell_length_c 5.3241
_cell_angle_alpha 90.00
_cell_angle_beta 90.00
_cell_angle_gamma 90.00
loop_
_atom_site_label
_atom_site_type_symbol
_atom_site_fract_x
_atom_site_fract_y
_atom_site_fract_z
_atom_site_occupancy
Pr1 Pr 0.0000 0.0000 0.0000 1
Ho1 Ho 0.0000 0.2162 0.5000 1
Ho2 Ho 0.2144 0.5000 0.5000 1
Ho3 Ho 0.2500 0.2500 0.0000 1
Tl1 Tl 0.0000 0.5000 0.0000 1
# V, Å³ per cell: 490
# DOS(E_F), states/eV/f.u.: 10.9

Entry two
# PrHo6Tl (PBE, optimized geometry)
data_PrHo6Tl
_chemical_formula_sum 'Pr2 Ho12 Tl2'
_space_group_name_H-M_alt 'C 1 2/m 1'
_space_group_IT_number 12
_cell_length_a 6.5046
_cell_length_b 11.6212
_cell_length_c 6.6060
_cell_angle_alpha 90.00
_cell_angle_beta 90.34
_cell_angle_gamma 90.00
loop_
_space_group_symop_operation_xyz
'x,y,z'
'-x,-y,-z'
'-x,y,-z'
'x,-y,z'
'x+1/2,y+1/2,z'
'-x+1/2,-y+1/2,-z'
'-x+1/2,y+1/2,-z'
'x+1/2,-y+1/2,z'
loop_
_atom_site_label
_atom_site_type_symbol
_atom_site_fract_x
_atom_site_fract_y
_atom_site_fract_z
_atom_site_occupancy
Pr1 Pr 0.0000 0.0000 0.0000 1
Ho1 Ho 0.0543 0.5000 0.7461 1
Ho2 Ho 0.1953 0.2185 0.7456 1
Tl1 Tl 0.0000 0.0000 0.5000 1
# V, Å³ per cell: 499
# DOS(E_F), states/eV/f.u.: 12.4

Least stable: entry two